TbLuPa | GGA-PBE | optimized geometry

Energy relative to the elements   2.5 kcal/mol of atoms
Raw total energy   -6.106 eV per atom

Structure (CIF):
```
data_TbLuPa
_chemical_formula_sum 'Tb1 Lu1 Pa1'
_space_group_name_H-M_alt 'P 3 m 1'
_space_group_IT_number 156
_cell_length_a 3.4023
_cell_length_b 3.4023
_cell_length_c 8.4631
_cell_angle_alpha 90.00
_cell_angle_beta 90.00
_cell_angle_gamma 120.00
loop_
_space_group_symop_operation_xyz
'x,y,z'
'-y,x-y,z'
'-x+y,-x,z'
'-y,-x,z'
'-x+y,y,z'
'x,x-y,z'
loop_
_atom_site_label
_atom_site_fract_x
_atom_site_fract_y
_atom_site_fract_z
Tb1 0.0000 0.0000 0.0000
Lu1 0.3333 0.6667 0.6428
Pa1 0.6667 0.3333 0.3244
```